Dy5TcAu2 | the Alexandria database | PBE-GGA | optimized geometry; formation enthalpy at 0 K = -0.46 eV per atom; SG = Pbam, No. 55
1.0
4.733 0.000 0.000
0.000 7.224 0.000
0.000 0.000 11.783
Tc Dy Au
2 10 4
Direct
0.000 0.000 0.000
0.000 0.500 0.500
0.000 0.000 0.500
0.500 0.180 0.085
0.500 0.820 0.915
0.000 0.848 0.208
0.000 0.152 0.792
0.000 0.348 0.292
0.000 0.500 0.000
0.500 0.680 0.415
0.500 0.320 0.585
0.000 0.652 0.708
0.500 0.573 0.162
0.500 0.427 0.838
0.500 0.927 0.662
0.500 0.073 0.338